Material: AlPt3
Method: DFT, GGA-PBE
State: optimized geometry

a = 5.1529 Å, b = 5.1529 Å, c = 5.1529 Å
α = 116.82°, β = 116.82°, γ = 116.82°
Sites, in units of the cell vectors:
1 Pt 0.5000 0.5000 0.0000
2 Pt 0.0000 0.5000 0.5000
3 Al 0.0000 0.0000 0.0000
4 Pt 0.5000 0.0000 0.5000

DFT total energy ... -23.55 eV for the cell shown
Volume ... 62 Å³/cell
E_form ... -0.420 eV per atom